(1)
DFT (PBE) results for a relaxed structure of Sr3As.

a = 3.993 Å, b = 3.992 Å, c = 10.269 Å
α = 90.00°, β = 90.00°, γ = 90.08°
Sites, in units of the cell vectors:
1 Sr 0.500 0.500 0.840
2 Sr 0.000 0.000 0.500
3 Sr 0.500 0.500 0.160
4 As 0.000 0.000 0.000

E ... -2.9517 eV per atom
Energy above the lowest structure with this stoichiometry ... 96 meV per atom
ΔH_f (0 K) ... -528 meV per atom
Spin magnetization ... 0.00 μB per atom
SG ... No. 65

---

(2)
DFT (PBE) results for a relaxed structure of SrAs3.

a = 7.958 Å, b = 7.958 Å, c = 4.496 Å
α = 90.00°, β = 90.00°, γ = 133.36°
Sites, in units of the cell vectors:
1 Sr 0.680 0.320 0.250
2 Sr 0.320 0.680 0.750
3 As 0.158 0.842 0.250
4 As 0.842 0.158 0.750
5 As 0.107 0.276 0.250
6 As 0.893 0.724 0.750
7 As 0.276 0.107 0.750
8 As 0.724 0.893 0.250

E ... -4.2519 eV per atom
ΔH_f (0 K) ... -344 meV per atom
Spin magnetization ... 0.00 μB per atom
SG ... No. 63

---

(3)
DFT (PBE) results for a relaxed structure of SrAs.

a = 8.684 Å, b = 8.684 Å, c = 8.684 Å
α = 90.00°, β = 90.00°, γ = 90.00°
Each line ends with the local moment (μB).
Sites, in units of the cell vectors:
1 Sr 0.250 0.500 0.000  0.06
2 Sr 0.750 0.500 0.000  0.06
3 Sr 0.500 0.000 0.250  0.06
4 Sr 0.500 0.000 0.750  0.06
5 Sr 0.000 0.250 0.500  0.06
6 Sr 0.000 0.750 0.500  0.06
7 As 0.250 0.000 0.500  0.40
8 As 0.750 0.000 0.500  0.40
9 As 0.000 0.500 0.250  0.40
10 As 0.000 0.500 0.750  0.40
11 As 0.500 0.250 0.000  0.40
12 As 0.500 0.750 0.000  0.40

E ... -3.5089 eV per atom
ΔH_f (0 K) ... -343 meV per atom
Spin magnetization ... 0.51 μB per atom
SG ... No. 223

---

(4)
DFT (PBE) results for a relaxed structure of Sr3As.

a = 5.948 Å, b = 5.948 Å, c = 5.948 Å
α = 60.00°, β = 60.00°, γ = 60.00°
Sites, in units of the cell vectors:
1 Sr 0.250 0.250 0.250
2 Sr 0.500 0.500 0.500
3 Sr 0.750 0.750 0.750
4 As 0.000 0.000 0.000

E ... -2.5383 eV per atom
Energy above the lowest structure with this stoichiometry ... 510 meV per atom
ΔH_f (0 K) ... -115 meV per atom
Spin magnetization ... 0.00 μB per atom
SG ... No. 225

---

(5)
DFT (PBE) results for a relaxed structure of Sr4As3.

a = 6.152 Å, b = 6.152 Å, c = 6.421 Å
α = 90.00°, β = 90.00°, γ = 120.00°
Sites, in units of the cell vectors:
1 Sr 0.000 0.000 0.225
2 Sr 0.000 0.000 0.775
3 Sr 0.667 0.333 0.500
4 Sr 0.333 0.667 0.500
5 As 0.000 0.500 0.000
6 As 0.500 0.500 0.000
7 As 0.500 0.000 0.000

E ... -3.3326 eV per atom
Energy above the lowest structure with this stoichiometry ... 758 meV per atom
ΔH_f (0 K) ... -379 meV per atom
Spin magnetization ... 0.00 μB per atom
SG ... No. 191

---

(6)
DFT (PBE) results for a relaxed structure of Sr3As2.

a = 8.122 Å, b = 8.320 Å, c = 7.838 Å
α = 60.27°, β = 62.81°, γ = 56.92°
Sites, in units of the cell vectors:
1 As 0.271 0.783 0.267
2 As 0.679 0.267 0.783
3 As 0.467 0.979 0.571
4 As 0.983 0.571 0.979
5 Sr 0.676 0.635 0.390
6 Sr 0.299 0.390 0.635
7 Sr 0.615 0.574 0.951
8 Sr 0.860 0.951 0.574
9 Sr 0.074 0.926 0.926
10 Sr 0.324 0.176 0.176

E ... -3.9100 eV per atom
Energy above the lowest structure with this stoichiometry ... 64 meV per atom
ΔH_f (0 K) ... -1041 meV per atom
Spin magnetization ... 0.00 μB per atom
SG ... No. 43

---

(7)
DFT (PBE) results for a relaxed structure of SrAs.

a = 18.310 Å, b = 4.560 Å, c = 4.564 Å
α = 90.00°, β = 90.00°, γ = 90.00°
Sites, in units of the cell vectors:
1 Sr 0.837 0.000 0.500
2 Sr 0.163 0.000 0.500
3 Sr 0.337 0.500 0.500
4 Sr 0.663 0.500 0.500
5 Sr 0.500 0.000 0.000
6 Sr 0.000 0.500 0.000
7 As 0.713 0.000 0.000
8 As 0.287 0.000 0.000
9 As 0.213 0.500 0.000
10 As 0.787 0.500 0.000
11 As 0.000 0.000 0.500
12 As 0.500 0.500 0.500

E ... -4.1593 eV per atom
ΔH_f (0 K) ... -994 meV per atom
Spin magnetization ... 0.00 μB per atom
SG ... No. 65

---

(8)
DFT (PBE) results for a relaxed structure of SrAs.

a = 6.549 Å, b = 6.549 Å, c = 6.549 Å
α = 140.28°, β = 140.28°, γ = 57.44°
Sites, in units of the cell vectors:
1 Sr 0.500 0.500 0.000
2 Sr 0.750 0.250 0.500
3 As 0.000 0.000 0.000
4 As 0.250 0.750 0.500

E ... -3.9229 eV per atom
ΔH_f (0 K) ... -757 meV per atom
Spin magnetization ... 0.00 μB per atom
SG ... No. 141

---

(9)
DFT (PBE) results for a relaxed structure of Sr3As.

a = 4.291 Å, b = 7.514 Å, c = 10.498 Å
α = 90.00°, β = 90.00°, γ = 90.00°
Sites, in units of the cell vectors:
1 Sr 0.500 0.000 0.465
2 Sr 0.000 0.500 0.535
3 Sr 0.000 0.738 0.175
4 Sr 0.000 0.262 0.175
5 Sr 0.500 0.238 0.825
6 Sr 0.500 0.762 0.825
7 As 0.000 0.000 0.678
8 As 0.500 0.500 0.322

E ... -3.0059 eV per atom
Energy above the lowest structure with this stoichiometry ... 42 meV per atom
ΔH_f (0 K) ... -582 meV per atom
Spin magnetization ... 0.15 μB per atom
SG ... No. 59

---

(10)
DFT (PBE) results for a relaxed structure of Sr5As4.

a = 8.083 Å, b = 8.083 Å, c = 8.083 Å
α = 95.94°, β = 95.94°, γ = 142.47°
Each line ends with the local moment (μB).
Sites, in units of the cell vectors:
1 Sr 0.000 0.000 0.000  0.09
2 Sr 0.684 0.316 0.000  0.01
3 Sr 0.316 0.684 0.000  0.01
4 Sr 0.316 0.316 0.631  0.01
5 Sr 0.684 0.684 0.369  0.01
6 As 0.730 0.000 0.730  0.18
7 As 0.270 0.000 0.270  0.18
8 As 0.000 0.270 0.270  0.18
9 As 0.000 0.730 0.730  0.18

E ... -3.4658 eV per atom
Energy above the lowest structure with this stoichiometry ... 512 meV per atom
ΔH_f (0 K) ... -465 meV per atom
Spin magnetization ... 0.22 μB per atom
SG ... No. 139

---

(11)
DFT (PBE) results for a relaxed structure of SrAs.

a = 8.501 Å, b = 8.501 Å, c = 8.501 Å
α = 35.82°, β = 35.82°, γ = 35.82°
Sites, in units of the cell vectors:
1 Sr 0.506 0.506 0.506
2 Sr 0.744 0.744 0.744
3 As 0.071 0.071 0.071
4 As 0.179 0.179 0.179

E ... -3.7704 eV per atom
ΔH_f (0 K) ... -605 meV per atom
Spin magnetization ... 0.00 μB per atom
SG ... No. 166

---

(12)
DFT (PBE) results for a relaxed structure of SrAs.

a = 6.279 Å, b = 6.279 Å, c = 4.454 Å
α = 90.00°, β = 90.00°, γ = 137.99°
Sites, in units of the cell vectors:
1 Sr 0.869 0.131 0.750
2 Sr 0.131 0.869 0.250
3 As 0.589 0.411 0.750
4 As 0.411 0.589 0.250

E ... -4.0222 eV per atom
ΔH_f (0 K) ... -856 meV per atom
Spin magnetization ... 0.00 μB per atom
SG ... No. 63

---

(13)
DFT (PBE) results for a relaxed structure of Sr4As3.

a = 8.232 Å, b = 8.232 Å, c = 8.232 Å
α = 109.47°, β = 109.47°, γ = 109.47°
Sites, in units of the cell vectors:
1 Sr 0.362 0.500 0.000
2 Sr 0.500 0.362 0.500
3 Sr 0.000 0.000 0.362
4 Sr 0.638 0.138 0.138
5 Sr 0.000 0.000 0.862
6 Sr 0.138 0.638 0.638
7 Sr 0.862 0.500 0.000
8 Sr 0.500 0.862 0.500
9 As 0.125 0.375 0.250
10 As 0.625 0.750 0.875
11 As 0.875 0.250 0.625
12 As 0.250 0.875 0.125
13 As 0.750 0.625 0.375
14 As 0.375 0.125 0.750

E ... -4.0504 eV per atom
Energy above the lowest structure with this stoichiometry ... 40 meV per atom
ΔH_f (0 K) ... -1097 meV per atom
Spin magnetization ... 0.00 μB per atom
SG ... No. 220

---

(14)
DFT (PBE) results for a relaxed structure of SrAs3.

a = 3.974 Å, b = 3.974 Å, c = 6.146 Å
α = 90.00°, β = 90.00°, γ = 98.25°
Sites, in units of the cell vectors:
1 Sr 0.500 0.500 0.250
2 As 0.000 0.000 0.951
3 As 0.500 0.500 0.750
4 As 0.000 0.000 0.549

E ... -4.1231 eV per atom
ΔH_f (0 K) ... -215 meV per atom
Spin magnetization ... 0.00 μB per atom
SG ... No. 65

---

(15)
DFT (PBE) results for a relaxed structure of SrAs.

a = 4.665 Å, b = 6.837 Å, c = 8.333 Å
α = 90.00°, β = 90.00°, γ = 90.00°
Sites, in units of the cell vectors:
1 Sr 0.000 0.000 0.778
2 Sr 0.000 0.000 0.222
3 Sr 0.500 0.500 0.278
4 Sr 0.500 0.500 0.722
5 As 0.000 0.316 0.500
6 As 0.000 0.684 0.500
7 As 0.500 0.816 0.000
8 As 0.500 0.184 0.000

E ... -4.1715 eV per atom
ΔH_f (0 K) ... -1006 meV per atom
Spin magnetization ... 0.00 μB per atom
SG ... No. 71

---

(16)
DFT (PBE) results for a relaxed structure of Sr3As2.

a = 5.157 Å, b = 5.157 Å, c = 7.361 Å
α = 90.00°, β = 90.00°, γ = 120.00°
Sites, in units of the cell vectors:
1 As 0.667 0.333 0.224
2 As 0.333 0.667 0.776
3 Sr 0.000 0.000 0.000
4 Sr 0.667 0.333 0.668
5 Sr 0.333 0.667 0.332

E ... -3.9742 eV per atom
Energy above the lowest structure with this stoichiometry ... 0 meV per atom
ΔH_f (0 K) ... -1105 meV per atom
Spin magnetization ... 0.00 μB per atom
SG ... No. 164

---

(17)
DFT (PBE) results for a relaxed structure of Sr3As5.

a = 9.041 Å, b = 9.041 Å, c = 6.329 Å
α = 90.00°, β = 90.00°, γ = 120.00°
Sites, in units of the cell vectors:
1 Sr 0.611 0.000 0.250
2 Sr 0.389 0.000 0.750
3 Sr 0.000 0.611 0.250
4 Sr 0.389 0.389 0.250
5 Sr 0.611 0.611 0.750
6 Sr 0.000 0.389 0.750
7 As 0.333 0.667 0.000
8 As 0.667 0.333 0.500
9 As 0.667 0.333 0.000
10 As 0.333 0.667 0.500
11 As 0.160 0.000 0.250
12 As 0.840 0.000 0.750
13 As 0.000 0.160 0.250
14 As 0.840 0.840 0.250
15 As 0.160 0.160 0.750
16 As 0.000 0.840 0.750

E ... -4.1252 eV per atom
ΔH_f (0 K) ... -589 meV per atom
Spin magnetization ... 0.00 μB per atom
SG ... No. 193

---

(18)
DFT (PBE) results for a relaxed structure of SrAs.

a = 3.640 Å, b = 5.246 Å, c = 6.379 Å
α = 90.00°, β = 90.00°, γ = 90.00°
Sites, in units of the cell vectors:
1 Sr 0.000 0.000 0.625
2 Sr 0.500 0.500 0.125
3 As 0.000 0.000 0.125
4 As 0.500 0.500 0.625

E ... -3.9841 eV per atom
ΔH_f (0 K) ... -818 meV per atom
Spin magnetization ... 0.00 μB per atom
SG ... No. 71

---

(19)
DFT (PBE) results for a relaxed structure of SrAs.

a = 12.975 Å, b = 7.254 Å, c = 10.222 Å
α = 90.00°, β = 90.00°, γ = 90.00°
Sites, in units of the cell vectors:
1 Sr 0.000 0.000 0.218
2 Sr 0.000 0.000 0.782
3 Sr 0.250 0.750 0.032
4 Sr 0.250 0.750 0.468
5 Sr 0.000 0.500 0.718
6 Sr 0.000 0.500 0.282
7 Sr 0.250 0.250 0.532
8 Sr 0.250 0.250 0.968
9 Sr 0.500 0.000 0.718
10 Sr 0.500 0.000 0.282
11 Sr 0.750 0.750 0.532
12 Sr 0.750 0.750 0.968
13 Sr 0.500 0.500 0.218
14 Sr 0.500 0.500 0.782
15 Sr 0.750 0.250 0.032
16 Sr 0.750 0.250 0.468
17 As 0.000 0.323 0.000
18 As 0.000 0.677 0.000
19 As 0.250 0.427 0.250
20 As 0.250 0.073 0.250
21 As 0.000 0.823 0.500
22 As 0.000 0.177 0.500
23 As 0.250 0.927 0.750
24 As 0.250 0.573 0.750
25 As 0.500 0.323 0.500
26 As 0.500 0.677 0.500
27 As 0.750 0.427 0.750
28 As 0.750 0.073 0.750
29 As 0.500 0.823 0.000
30 As 0.500 0.177 0.000
31 As 0.750 0.927 0.250
32 As 0.750 0.573 0.250

E ... -4.1074 eV per atom
ΔH_f (0 K) ... -942 meV per atom
Spin magnetization ... 0.00 μB per atom
SG ... No. 70

---

(20)
DFT (PBE) results for a relaxed structure of Sr3As.

a = 11.373 Å, b = 11.373 Å, c = 11.373 Å
α = 22.80°, β = 22.80°, γ = 22.80°
Sites, in units of the cell vectors:
1 Sr 0.716 0.716 0.716
2 Sr 0.500 0.500 0.500
3 Sr 0.284 0.284 0.284
4 As 0.000 0.000 0.000

E ... -3.0480 eV per atom
Energy above the lowest structure with this stoichiometry ... 0 meV per atom
ΔH_f (0 K) ... -624 meV per atom
Spin magnetization ... 0.00 μB per atom
SG ... No. 166